## SmPuSi2 (GGA-PBE)

Data for a relaxed SmPuSi2 crystal.

Results
- space-group type = Pmc2_1 (26)
- ρ (Mg/m³) = 8.27
- formation energy from raw total energies (eV per formula unit) = -2.3
- ΔE to the lowest computed polymorph (eV/atom) = 0.005
- D(E_F) (states/eV per atom) = 2.569

Cell and atoms, written as POSCAR:
```
SmPuSi2
1.0
3.847 0.000 0.000
0.000 5.804 0.000
0.000 0.000 8.103
Sm Pu Si
2 2 4
Direct
0.000 0.140 0.000
0.000 0.860 0.500
0.500 0.360 0.358
0.500 0.640 0.858
0.000 0.376 0.645
0.000 0.624 0.145
0.500 0.130 0.713
0.500 0.870 0.213
```